# 1
DFT (GGA-PBE) results for a relaxed ZnInI4 crystal.

Summary:
- DFT total energy (eV per atom) = -2.151
- SG = No. 82
- uncorrected formation energy (eV/f.u.) = -2.7
- calculated density (g/cm³) = 4.22

Cell lengths 6.5751, 6.5751, 7.8002 Å; angles 114.93, 114.93, 90.00 degrees
Closest atoms and distances in Å follow each position.
Fractional positions:
1 Zn 0.7500 0.2500 0.5000  4 I 2.65
2 In 0.5000 0.5000 0.0000  4 I 3.05
3 I 0.3708 0.9230 0.2612  1 Zn 2.65
4 I 0.8904 0.3381 0.2612  1 Zn 2.65
5 I 0.0770 0.1096 0.7388  1 Zn 2.65
6 I 0.6619 0.6292 0.7388  1 Zn 2.65

=====

# 2
DFT (GGA-PBE) results for a relaxed Zn2InI5 crystal.

Summary:
- DFT total energy (eV per atom) = -2.080
- SG = No. 63
- uncorrected formation energy (eV/f.u.) = -3.6
- calculated density (g/cm³) = 3.34

Cell lengths 6.7130, 10.4922, 13.1215 Å; angles 90.00, 90.00, 108.66 degrees
Closest atoms and distances in Å follow each position.
Fractional positions:
1 Zn 0.2161 0.4323 0.5853  3 I 2.56-2.63
2 Zn 0.7839 0.5677 0.4147  3 I 2.56-2.63
3 Zn 0.7839 0.5677 0.0853  3 I 2.56-2.63
4 Zn 0.2161 0.4323 0.9147  3 I 2.56-2.63
5 In 0.9777 0.9554 0.7500  2 I 3.15
6 In 0.0223 0.0446 0.2500  2 I 3.15
7 I 0.7088 0.4177 0.2500  2 Zn 2.63
8 I 0.2912 0.5823 0.7500  2 Zn 2.63
9 I 0.2830 0.5661 0.0809  1 Zn 2.56
10 I 0.7170 0.4339 0.9191  1 Zn 2.56
11 I 0.7170 0.4339 0.5809  1 Zn 2.56
12 I 0.2830 0.5661 0.4191  1 Zn 2.56
13 I 0.0865 0.1730 0.5749  1 Zn 2.58
14 I 0.9135 0.8270 0.4251  1 Zn 2.58
15 I 0.0865 0.1730 0.9251  1 Zn 2.58
16 I 0.9135 0.8270 0.0749  1 Zn 2.58

=====

> Which value of DFT total energy does entry 1 give?

-2.151 eV per atom

=====

> Which of these has the lowest DFT total energy?

ZnInI4

=====

> Which of these has the highest uncorrected formation energy?

ZnInI4